Record 1
The following is a PBE-GGA calculation of a geometry-optimized TlTcOs2 structure, from Alexandria.

Cell lengths 4.999, 4.999, 4.999 Å; angles 133.71, 133.71, 67.55 degrees
Atoms (fractional coordinates):
Os  0.000  0.000  0.000
Os  0.500  0.500  0.000
Tc  0.250  0.750  0.500
Tl  0.750  0.250  0.500

Summary:
Its relative energy among the computed polymorphs is 24.6 kJ/mol of atoms. The formation energy from the elements is 0.836 eV per atom.

Record 2
The following is a PBE-GGA calculation of a geometry-optimized TlTc2Os structure, from Alexandria.

Cell lengths 4.045, 4.014, 4.014 Å; angles 90.00, 90.00, 90.00 degrees
Last column: magnetic moment on the atom in μB.
Atoms (fractional coordinates):
Os  0.500  0.000  0.500  0.27
Tc  0.000  0.000  0.000  0.74
Tc  0.000  0.500  0.500  0.74
Tl  0.500  0.500  0.000  -0.01

Summary:
Its relative energy among the computed polymorphs is 38.0 kJ/mol of atoms. The formation energy from the elements is 0.856 eV per atom.

Record 3
The following is a PBE-GGA calculation of a geometry-optimized TlTcOs2 structure, from Alexandria.

Cell lengths 9.512, 9.512, 9.512 Å; angles 17.21, 17.21, 17.21 degrees
Atoms (fractional coordinates):
Os  0.992  0.992  0.992
Os  0.508  0.508  0.508
Tc  0.250  0.250  0.250
Tl  0.750  0.750  0.750

Summary:
Its relative energy among the computed polymorphs is 1.6 kJ/mol of atoms. The formation energy from the elements is 0.597 eV per atom.

Record 4
The following is a PBE-GGA calculation of a geometry-optimized Tl3TcOs structure, from Alexandria.

Cell lengths 5.267, 5.267, 5.267 Å; angles 90.00, 90.00, 90.00 degrees
Last column: magnetic moment on the atom in μB.
Atoms (fractional coordinates):
Tl  0.000  0.500  0.000  -0.01
Tl  0.000  0.000  0.500  -0.02
Tl  0.500  0.000  0.000  0.03
Os  0.000  0.000  0.000  0.40
Tc  0.500  0.500  0.500  3.58

Summary:
Its relative energy among the computed polymorphs is 0.0 kJ/mol of atoms. The formation energy from the elements is 1.371 eV per atom.

Record 5
The following is a PBE-GGA calculation of a geometry-optimized TlTc2Os structure, from Alexandria.

Cell lengths 2.845, 3.908, 6.008 Å; angles 90.00, 90.00, 90.00 degrees
Atoms (fractional coordinates):
Os  0.500  0.500  0.750
Tc  0.000  0.000  0.957
Tc  0.000  0.000  0.543
Tl  0.500  0.500  0.250

Summary:
Its relative energy among the computed polymorphs is 8.4 kJ/mol of atoms. The formation energy from the elements is 0.549 eV per atom.

Record 6
The following is a PBE-GGA calculation of a geometry-optimized TlTcOs2 structure, from Alexandria.

Cell lengths 4.628, 4.628, 3.060 Å; angles 90.00, 90.00, 90.00 degrees
Last column: magnetic moment on the atom in μB.
Atoms (fractional coordinates):
Os  0.000  0.000  0.000  0.06
Os  0.500  0.500  0.000  0.06
Tc  0.500  0.000  0.500  0.82
Tl  0.000  0.500  0.500  0.01

Summary:
Its relative energy among the computed polymorphs is 44.1 kJ/mol of atoms. The formation energy from the elements is 1.037 eV per atom.

Quick rundown of D(E_F), same order as above: 1.196; 1.335; 0.631; 0.812; 1.224; 1.079 states/eV/atom